Below is a geometry-optimized La6CePrTm2 structure, with properties calculated at the GGA-PBE level.

Unit cell a=6.998 b=6.998 c=9.069 alpha=107.40 beta=107.40 gamma=58.39
Fractional positions:
La1 0.090 0.611 0.687
La2 0.163 0.163 0.918
La3 0.389 0.910 0.313
La4 0.611 0.090 0.687
La5 0.837 0.837 0.082
La6 0.910 0.389 0.313
Ce1 0.000 0.000 0.500
Pr1 0.500 0.500 0.000
Tm1 0.400 0.400 0.322
Tm2 0.600 0.600 0.678

Calculated values
ρ	6.79	Mg/m³
DFT formation energy	219	meV/atom
DOS(E_F)	2.291	states/eV per atom
electronic total energy	-47.0	eV per cell
symmetry	No. 12

Below is a geometry-optimized LaCePr6Tm2 structure, with properties calculated at the GGA-PBE level.

Unit cell a=6.669 b=6.669 c=9.004 alpha=100.09 beta=100.09 gamma=63.66
Fractional positions:
La1 0.000 0.000 0.000
Ce1 0.500 0.500 0.500
Pr1 0.066 0.598 0.698
Pr2 0.365 0.365 0.078
Pr3 0.402 0.934 0.302
Pr4 0.598 0.066 0.698
Pr5 0.635 0.635 0.922
Pr6 0.934 0.402 0.302
Tm1 0.094 0.094 0.655
Tm2 0.906 0.906 0.345

Calculated values
ρ	6.91	Mg/m³
DFT formation energy	221	meV/atom
DOS(E_F)	2.291	states/eV per atom
electronic total energy	-46.3	eV per cell
symmetry	No. 12